# AlSb2 PBE relaxed
data_AlSb2
_chemical_formula_sum 'Al1 Sb2'
_symmetry_space_group_name_H-M 'P -3 m 1'
_symmetry_Int_Tables_number 164
_symmetry_space_group_name_Hall '-P 3 2"'
_cell_length_a 4.1908
_cell_length_b 4.1908
_cell_length_c 5.1172
_cell_angle_alpha 90.00
_cell_angle_beta 90.00
_cell_angle_gamma 120.00
loop_
_atom_site_label
_atom_site_fract_x
_atom_site_fract_y
_atom_site_fract_z
Al1 0.0000 0.0000 0.0000
Sb1 0.3333 0.6667 0.2975
# - Calculated total energy: -3.92 eV per atom
# - Formation energy without anion corrections: 0.08 eV per atom
# - DOS at the Fermi energy: 1.70 states/eV/f.u.